Entry 1:
This record from Alexandria via LeMat-Bulk describes an optimized crystal structure of Tl2IrI. The functional is PBEsol.

Properties
The value obtained for the total energy is -3.337 eV per atom. Its symmetry is No. 225. As for the uncorrected formation energy: 3.502 eV/f.u. The volume is 24.988 Å³ per atom. The value obtained for the magnetization is 0.40 μB/atom.

Cell: 5.209 5.209 5.209 Å, 60.00 60.00 60.00°
Positions (direct):
Tl  0.250  0.250  0.250
Tl  0.750  0.750  0.750
Ir  0.000  0.000  0.000
I  0.500  0.500  0.500



Entry 2:
This record from Alexandria via LeMat-Bulk describes an optimized crystal structure of YMo2Se. The functional is PBEsol.

Properties
The value obtained for the total energy is -8.692 eV per atom. Its symmetry is No. 160. As for the uncorrected formation energy: -0.558 eV/f.u. The volume is 19.592 Å³ per atom. The value obtained for the magnetization is 0.00 μB/atom.

Cell: 5.555 5.555 5.555 Å, 45.12 45.12 45.12°
Positions (direct):
Y  0.000  0.000  0.000
Mo  0.208  0.208  0.208
Mo  0.503  0.503  0.503
Se  0.785  0.785  0.785



Entry 3:
This record from Alexandria via LeMat-Bulk describes an optimized crystal structure of KLa4Sc. The functional is PBEsol.

Properties
The value obtained for the total energy is -4.379 eV per atom. Its symmetry is No. 216. For the formation enthalpy at 0 K, the calculation gives 0.475 eV per atom. The volume is 36.171 Å³ per atom. The value obtained for the magnetization is 0.00 μB/atom.

Cell: 6.745 6.745 6.745 Å, 60.00 60.00 60.00°
Positions (direct):
K  0.000  0.000  0.000
La  0.148  0.617  0.617
La  0.617  0.148  0.617
La  0.617  0.617  0.148
La  0.617  0.617  0.617
Sc  0.250  0.250  0.250



Entry 4:
This record from Alexandria via LeMat-Bulk describes an optimized crystal structure of RbTc2PdS. The functional is PBEsol.

Properties
The value obtained for the total energy is -5.789 eV per atom. Its symmetry is No. 123. As for the uncorrected formation energy: 4.957 eV/f.u. The volume is 21.289 Å³ per atom. The value obtained for the magnetization is 0.49 μB/atom.

Cell: 4.334 4.334 5.668 Å, 90.00 90.00 90.00°
Positions (direct):
Rb  0.000  0.000  0.000
Tc  0.000  0.500  0.500
Tc  0.500  0.000  0.500
Pd  0.500  0.500  0.000
S  0.000  0.000  0.500